Record 1
Here is a relaxed structure of Nd8Dy2Cd from the Alexandria database. Energies are from PBE. Values from VASP.

Output
Total magnetic moment in μB/cell: 0.0
DFT formation energy in eV/atom: -0.0168
E_tot in Ry/atom: -0.3237
Offset from the most stable computed form in kJ/mol of atoms: 0.4

Geometry as Quantum ESPRESSO input:
```
&SYSTEM
  ibrav = 0, nat = 11, ntyp = 3
/
ATOMIC_SPECIES
Nd 144.24 Nd.upf
Dy 162.50 Dy.upf
Cd 112.41 Cd.upf
ATOMIC_POSITIONS angstrom
Nd -0.5980 0.0000 4.0046
Nd -1.4002 0.0000 11.8345
Nd 0.9469 0.0000 7.2995
Nd 1.9727 0.0000 10.6766
Nd 6.3212 0.0000 1.7448
Nd 7.3470 0.0000 5.1219
Nd 9.6941 0.0000 0.5868
Nd 8.8919 0.0000 8.4168
Dy 2.8577 0.0000 2.9574
Dy 5.4362 0.0000 9.4640
Cd 4.1469 0.0000 6.2107
CELL_PARAMETERS angstrom
5.7267 -2.5606 0.0000
5.7267 2.5606 0.0000
-3.1595 0.0000 12.4214
```



Record 2
Here is a relaxed structure of CdTcAs2 from the Alexandria database. Energies are from PBE. Values from VASP.

Output
Total magnetic moment in μB/cell: 0.0
DFT formation energy in eV/atom: -0.0766
E_tot in Ry/atom: -0.3838

Geometry as Quantum ESPRESSO input:
```
&SYSTEM
  ibrav = 0, nat = 4, ntyp = 3
/
ATOMIC_SPECIES
Cd 112.41 Cd.upf
Tc 98.00 Tc.upf
As 74.92 As.upf
ATOMIC_POSITIONS angstrom
Cd 0.0000 0.0000 0.0000
Tc 1.5060 0.0000 4.2715
As -0.0105 1.5335 5.7766
As 3.0225 1.5335 2.7665
CELL_PARAMETERS angstrom
3.0320 0.0000 0.0000
0.0000 3.0670 0.0000
-0.0200 0.0000 8.5431
```



Record 3
Here is a relaxed structure of NaCa2In2 from the Alexandria database. Energies are from PBE. Values from VASP.

Output
Total magnetic moment in μB/cell: 0.0
DFT formation energy in eV/atom: -0.3144
E_tot in Ry/atom: -0.1819
Offset from the most stable computed form in kJ/mol of atoms: 0.0

Geometry as Quantum ESPRESSO input:
```
&SYSTEM
  ibrav = 0, nat = 10, ntyp = 3
/
ATOMIC_SPECIES
Na 22.99 Na.upf
Ca 40.08 Ca.upf
In 114.82 In.upf
ATOMIC_POSITIONS angstrom
Na 0.0000 0.0000 0.0000
Na 4.4190 4.4190 0.0000
Ca 1.5178 2.9013 2.0133
Ca 2.9013 7.3203 2.0133
Ca 5.9368 1.5178 2.0133
Ca 7.3203 5.9368 2.0133
In 1.0916 5.5106 0.0000
In 3.3275 1.0916 0.0000
In 5.5106 7.7465 0.0000
In 7.7465 3.3275 0.0000
CELL_PARAMETERS angstrom
8.8380 0.0000 0.0000
0.0000 8.8380 0.0000
0.0000 0.0000 4.0265
```



Record 4
Here is a relaxed structure of BaZrP from the Alexandria database. Energies are from PBE. Values from VASP.

Output
Total magnetic moment in μB/cell: 0.0
DFT formation energy in eV/atom: -0.5490
E_tot in Ry/atom: -0.4294
Offset from the most stable computed form in kJ/mol of atoms: 32.2

Geometry as Quantum ESPRESSO input:
```
&SYSTEM
  ibrav = 0, nat = 3, ntyp = 3
/
ATOMIC_SPECIES
Ba 137.33 Ba.upf
Zr 91.22 Zr.upf
P 30.97 P.upf
ATOMIC_POSITIONS angstrom
Ba 0.0000 0.0000 0.0000
Zr 0.0000 0.0000 9.1286
P 0.0000 0.0000 3.2905
CELL_PARAMETERS angstrom
-1.8461 1.8461 6.2835
1.8461 -1.8461 6.2835
1.8461 1.8461 -6.2835
```



Record 5
Here is a relaxed structure of LaCo2Au from the Alexandria database. Energies are from PBE. Values from VASP.

Output
Total magnetic moment in μB/cell: 3.0
DFT formation energy in eV/atom: 0.0203
E_tot in Ry/atom: -0.4104

Geometry as Quantum ESPRESSO input:
```
&SYSTEM
  ibrav = 0, nat = 4, ntyp = 3
/
ATOMIC_SPECIES
La 138.91 La.upf
Co 58.93 Co.upf
Au 196.97 Au.upf
ATOMIC_POSITIONS angstrom
La 0.0000 0.0000 0.0000
Co 0.0000 0.0000 4.0135
Co 1.5811 1.5811 4.9748
Au 1.5811 1.5811 2.3230
CELL_PARAMETERS angstrom
3.1623 0.0000 0.0000
0.0000 3.1623 0.0000
0.0000 0.0000 7.1384
```



Record 6
Here is a relaxed structure of PrAlZn2Cu4 from the Alexandria database. Energies are from PBE. Values from VASP.

Output
Total magnetic moment in μB/cell: 0.0
DFT formation energy in eV/atom: -0.1639
E_tot in Ry/atom: -0.2643

Geometry as Quantum ESPRESSO input:
```
&SYSTEM
  ibrav = 0, nat = 8, ntyp = 4
/
ATOMIC_SPECIES
Pr 140.91 Pr.upf
Al 26.98 Al.upf
Zn 65.41 Zn.upf
Cu 63.55 Cu.upf
ATOMIC_POSITIONS angstrom
Pr 0.0000 0.0000 0.0000
Al 0.0000 0.0000 12.8860
Zn 0.0000 0.0000 6.1688
Zn 0.0000 0.0000 19.6032
Cu 0.0000 0.0000 3.4086
Cu 0.0000 0.0000 10.4506
Cu 0.0000 0.0000 15.3214
Cu 0.0000 0.0000 22.3634
CELL_PARAMETERS angstrom
2.0960 1.2101 8.5907
-2.0960 1.2101 8.5907
0.0000 -2.4203 8.5907
```



Copy entry 3 word for word.
Here is a relaxed structure of NaCa2In2 from the Alexandria database. Energies are from PBE. Values from VASP.

Output
Total magnetic moment in μB/cell: 0.0
DFT formation energy in eV/atom: -0.3144
E_tot in Ry/atom: -0.1819
Offset from the most stable computed form in kJ/mol of atoms: 0.0

Geometry as Quantum ESPRESSO input:
```
&SYSTEM
  ibrav = 0, nat = 10, ntyp = 3
/
ATOMIC_SPECIES
Na 22.99 Na.upf
Ca 40.08 Ca.upf
In 114.82 In.upf
ATOMIC_POSITIONS angstrom
Na 0.0000 0.0000 0.0000
Na 4.4190 4.4190 0.0000
Ca 1.5178 2.9013 2.0133
Ca 2.9013 7.3203 2.0133
Ca 5.9368 1.5178 2.0133
Ca 7.3203 5.9368 2.0133
In 1.0916 5.5106 0.0000
In 3.3275 1.0916 0.0000
In 5.5106 7.7465 0.0000
In 7.7465 3.3275 0.0000
CELL_PARAMETERS angstrom
8.8380 0.0000 0.0000
0.0000 8.8380 0.0000
0.0000 0.0000 4.0265
```



Which value of DFT formation energy does entry 5 give?
0.0203 eV/atom